This record from Alexandria via LeMat-Bulk describes a geometry-optimized BaPuBr6 structure. The functional is PBE-GGA.

Cell: 7.300 7.309 8.222 Å, 63.92 63.65 60.19°
Space group P-1 (No. 2)
Inequivalent atoms, fractional coordinates:
Ba 0.000 0.000 0.000 [1 per cell]
Pu 0.500 0.500 0.500 [1 per cell]
Br 0.102 0.448 0.726 [2 per cell]
Br 0.277 0.895 0.276 [2 per cell]
Br 0.451 0.726 0.723 [2 per cell]

Calculated values
Formation energy (no corrections) = -1673.7 meV/atom